The following is a DFT calculation (GGA-PBE) of crystalline PaTlO6 at its relaxed geometry.

Formation energy without anion corrections   -1.122 eV per atom
Total moment   0.0 μB per formula unit

abc: 8.4444 8.4444 8.4444
angles: 90.00 90.00 90.00
Space group Fm-3m (No. 225)
One atom of each set of equivalent atoms:
Pa 0.0000 0.0000 0.0000 [4 per cell]
Tl 0.0000 0.0000 0.5000 [4 per cell]
O 0.0000 0.0000 0.2379 [24 per cell]

=====

The following is a DFT calculation (GGA-PBE) of crystalline Pa3TlO at its relaxed geometry.

Formation energy without anion corrections   -0.831 eV per atom
Total moment   0.0 μB per formula unit

abc: 4.7889 4.7889 4.7889
angles: 90.00 90.00 90.00
Space group Pm-3m (No. 221)
One atom of each set of equivalent atoms:
Pa 0.0000 0.0000 0.5000 [3 per cell]
Tl 0.5000 0.5000 0.5000 [1 per cell]
O 0.0000 0.0000 0.0000 [1 per cell]

=====

The following is a DFT calculation (GGA-PBE) of crystalline PaTlO3 at its relaxed geometry.

Formation energy without anion corrections   -2.758 eV per atom
Total moment   0.0 μB per formula unit

abc: 4.4056 4.4056 4.4056
angles: 90.00 90.00 90.00
Space group Pm-3m (No. 221)
One atom of each set of equivalent atoms:
Pa 0.0000 0.0000 0.0000 [1 per cell]
Tl 0.5000 0.5000 0.5000 [1 per cell]
O 0.0000 0.0000 0.5000 [3 per cell]